Computed, not measured: crystalline BaIBr at its relaxed geometry at the PBE level of DFT.

a = 5.225 Å, b = 5.225 Å, c = 8.793 Å
α = 90.00°, β = 90.00°, γ = 90.00°
Fractional positions:
I 0.500 0.000 0.136
Ba 0.500 0.000 0.730
Br 0.000 0.000 0.500
Br 0.500 0.500 0.500
I 0.000 0.500 0.864
Ba 0.000 0.500 0.270

As for the density of states at the Fermi level: 0.0 states/eV/f.u.

---

Computed, not measured: crystalline BaIBr at its relaxed geometry at the PBE level of DFT.

a = 6.598 Å, b = 5.236 Å, c = 8.587 Å
α = 90.00°, β = 107.07°, γ = 90.00°
Fractional positions:
Ba 0.335 0.750 0.237
I 0.769 0.750 0.065
Br 0.257 0.250 0.436
I 0.231 0.250 0.935
Br 0.743 0.750 0.564
Ba 0.665 0.250 0.763

As for the density of states at the Fermi level: 0.0 states/eV/f.u.

---

Computed, not measured: crystalline Ba3I5Br at its relaxed geometry at the PBE level of DFT.

a = 9.573 Å, b = 9.573 Å, c = 13.184 Å
α = 93.56°, β = 117.41°, γ = 106.29°
Fractional positions:
Br 0.798 0.913 0.711
I 0.186 0.764 0.950
I 0.698 0.698 0.000
I 0.814 0.236 0.050
Ba 0.501 0.335 0.836
Ba 0.959 0.686 0.645
Ba 0.000 0.000 0.000
I 0.302 0.302 0.000
I 0.190 0.457 0.648
Ba 0.041 0.314 0.355
I 0.276 0.983 0.648
I 0.335 0.628 0.352
I 0.724 0.017 0.352
I 0.665 0.372 0.648
I 0.810 0.543 0.352
Ba 0.500 0.000 0.500
Ba 0.499 0.665 0.164
Br 0.202 0.087 0.289

As for the density of states at the Fermi level: 0.0 states/eV/f.u.

---

Computed, not measured: crystalline BaIBr at its relaxed geometry at the PBE level of DFT.

a = 5.153 Å, b = 8.868 Å, c = 10.203 Å
α = 90.00°, β = 90.00°, γ = 90.00°
Fractional positions:
Ba 0.750 0.771 0.124
Br 0.250 0.857 0.934
Ba 0.250 0.229 0.876
I 0.750 0.028 0.669
I 0.750 0.528 0.831
Ba 0.250 0.729 0.624
Br 0.750 0.143 0.066
Ba 0.750 0.271 0.376
Br 0.250 0.357 0.566
I 0.250 0.472 0.169
I 0.250 0.972 0.331
Br 0.750 0.643 0.434

As for the density of states at the Fermi level: 0.0 states/eV/f.u.

---

no.,magnetic moment (μB/cell),calculated total energy (eV per atom)
1,0.0,-3.71
2,0.0,-3.70
3,0.0,-3.50
4,0.0,-3.74